This record from the Alexandria database describes an optimized crystal structure of TbErCr2O8. The functional is PBE+U.

Lattice parameters (Å, degrees): 5.982 5.982 5.982 106.01 106.01 116.64
Fractional positions:
Tb1 0.000 0.000 0.000
Er1 0.750 0.250 0.500
Cr1 0.250 0.750 0.500
Cr2 0.500 0.500 0.000
O1 0.074 0.391 0.317
O2 0.074 0.757 0.683
O3 0.141 0.326 0.814
O4 0.243 0.926 0.317
O5 0.512 0.326 0.186
O6 0.609 0.926 0.683
O7 0.674 0.488 0.814
O8 0.674 0.859 0.186

Properties
For the total DFT energy (no corrections), the calculation gives -7.6544 eV per atom. Its calculated density is 5.69 Mg/m³.